Density functional theory data (PBE-GGA) for Cs3Bi2Au4 after structural relaxation.

Structure (extended XYZ):
```
9
Lattice="5.171 0.000 0.000 2.576 6.804 0.000 0.025 2.973 9.366" Properties=species:S:1:pos:R:3 pbc="T T T"
Cs 0.000 0.000 0.000
Cs 2.597 3.688 5.854
Cs 5.174 6.090 3.512
Bi 2.589 2.898 2.042
Bi 5.182 6.880 7.324
Au 2.606 7.663 5.903
Au 2.600 6.294 8.571
Au 5.172 3.483 0.795
Au 5.165 2.114 3.463
```

Spin magnetization = 0.0 μB per cell
Calculated formation energy = -306 meV/atom
DFT total energy = -2.910 eV per atom
Space-group type = P-1, No. 2